Entry 1:
DFT (GGA-PBEsol) results for a relaxed Li2CaPd2 crystal.

a = 2.9685 Å, b = 7.4387 Å, c = 7.4387 Å
α = 90.00°, β = 90.00°, γ = 90.00°
Last column: nearest neighbours and their distance in Å.
Fractional positions:
Pd 0.0000 0.3435 0.8435  6 Li 2.62-2.66, 2 Ca 2.81
Pd 0.0000 0.1565 0.3435  6 Li 2.62-2.66, 2 Ca 2.81
Pd 0.0000 0.8435 0.6565  6 Li 2.62-2.66, 2 Ca 2.81
Pd 0.0000 0.6565 0.1565  6 Li 2.62-2.66, 2 Ca 2.81
Li 0.5000 0.6336 0.8664  6 Pd 2.62-2.66, 1 Li 2.81
Li 0.5000 0.1336 0.6336  6 Pd 2.62-2.66, 1 Li 2.81
Li 0.5000 0.3664 0.1336  6 Pd 2.62-2.66, 1 Li 2.81
Li 0.5000 0.8664 0.3664  6 Pd 2.62-2.66, 1 Li 2.81
Ca 0.0000 0.5000 0.5000  4 Pd 2.81, 2 Ca 2.97
Ca 0.0000 0.0000 0.0000  4 Pd 2.81, 2 Ca 2.97

Calculated values
The size of the total moment is 0.000 μB/atom. The value obtained for the relative energy among the computed polymorphs is 16 meV/atom. Its space-group type is P4/mbm, No. 127. For the uncorrected energy, the calculation gives -39.45 eV for the cell shown.


Entry 2:
DFT (GGA-PBEsol) results for a relaxed TaHgSCl2 crystal.

a = 4.9515 Å, b = 4.9515 Å, c = 5.0266 Å
α = 90.00°, β = 90.00°, γ = 90.00°
Last column: nearest neighbours and their distance in Å.
Fractional positions:
S 0.0000 0.0000 0.5000  2 Hg 2.51
Cl 0.5000 0.0000 0.0000  2 Hg 2.48
Cl 0.0000 0.5000 0.0000  2 Hg 2.48
Hg 0.0000 0.0000 0.0000  4 Cl 2.48, 2 S 2.51
Ta 0.5000 0.5000 0.5000  4 S 3.50, 8 Cl 3.53

Calculated values
The size of the total moment is 0.616 μB/atom. Its space-group type is P4/mmm, No. 123. As for the formation energy from raw total energies: 98.5 kJ per mole of atoms. For the uncorrected energy, the calculation gives -16.41 eV for the cell shown.